1.
DFT (PBE) results for RbNa2NiGe after structural relaxation.

Cell: 5.5728 5.5728 4.5432 Å, 90.00 90.00 90.00°
Sites, in units of the cell vectors:
1 Rb 0.0000 0.0000 0.0000
2 Na 0.0000 0.5000 0.5000
3 Na 0.5000 0.0000 0.5000
4 Ni 0.5000 0.5000 0.5000
5 Ge 0.5000 0.5000 0.0000

## Properties
spin magnetization: 0.000 μB/f.u.
mass density: 3.1 g/cm³
energy of formation from the pure elements: 0.1 eV/f.u.

2.
DFT (PBE) results for MnCoCuSn after structural relaxation.

Cell: 4.3078 4.3078 4.3078 Å, 60.00 60.00 60.00°
Sites, in units of the cell vectors:
1 Mn 0.0000 0.0000 0.0000
2 Co 0.7500 0.7500 0.7500
3 Cu 0.2500 0.2500 0.2500
4 Sn 0.5000 0.5000 0.5000

## Properties
spin magnetization: 4.083 μB/f.u.
mass density: 8.7 g/cm³
energy of formation from the pure elements: 0.2 eV/f.u.